1.
Material: RbSnHg4
Method: DFT, PBE
State: optimized geometry

- total energy (eV for the cell shown) = -13.62
- crystal system = orthorhombic
- energy above the lowest structure with this stoichiometry (meV per atom) = 35
- spin magnetization (μB/f.u.) = 0.000
- energy of formation from the pure elements (eV per atom) = -0.11
- SG = Cmcm (63)

Lattice parameters (Å, degrees): 11.2426 11.2426 7.0512 90.00 90.00 152.06
Sites, in units of the cell vectors:
Rb1 0.1054 0.8946 0.7500
Rb2 0.8946 0.1054 0.2500
Sn1 0.3947 0.6053 0.7500
Sn2 0.6053 0.3947 0.2500
Hg1 0.1568 0.8432 0.2500
Hg2 0.2825 0.7175 0.0265
Hg3 0.2825 0.7175 0.4735
Hg4 0.5000 0.5000 0.0000
Hg5 0.5000 0.5000 0.5000
Hg6 0.7175 0.2825 0.5265
Hg7 0.7175 0.2825 0.9735
Hg8 0.8432 0.1568 0.7500

---

2.
Material: Cr2OsAu
Method: DFT, PBE
State: optimized geometry

- total energy (eV for the cell shown) = -32.39
- crystal system = monoclinic
- spin magnetization (μB/f.u.) = 0.338
- energy of formation from the pure elements (eV per atom) = 0.34
- SG = Pm (6)

Lattice parameters (Å, degrees): 2.7592 3.9237 5.3760 90.00 100.00 90.00
Sites, in units of the cell vectors:
Cr1 0.0000 0.0000 0.0000
Cr2 0.2926 0.5000 0.2351
Os1 0.7984 0.0000 0.4265
Au1 0.4053 0.5000 0.7400

---

3.
Material: Li5Cu
Method: DFT, PBE
State: optimized geometry

- total energy (eV for the cell shown) = -27.20
- crystal system = orthorhombic
- energy above the lowest structure with this stoichiometry (meV per atom) = 1
- spin magnetization (μB/f.u.) = 0.000
- energy of formation from the pure elements (eV per atom) = 0.01
- SG = Cmmm (65)

Lattice parameters (Å, degrees): 4.1255 11.7756 4.1136 90.00 90.00 90.00
Sites, in units of the cell vectors:
Li1 0.0000 0.0000 0.0000
Li2 0.0000 0.1555 0.5000
Li3 0.0000 0.3456 0.0000
Li4 0.0000 0.6544 0.0000
Li5 0.0000 0.8445 0.5000
Li6 0.5000 0.1544 0.0000
Li7 0.5000 0.3445 0.5000
Li8 0.5000 0.5000 0.0000
Li9 0.5000 0.6555 0.5000
Li10 0.5000 0.8456 0.0000
Cu1 0.0000 0.5000 0.5000
Cu2 0.5000 0.0000 0.5000

---

4.
Material: CaMg3Zn
Method: DFT, PBE
State: optimized geometry

- total energy (eV for the cell shown) = -16.42
- crystal system = orthorhombic
- energy above the lowest structure with this stoichiometry (meV per atom) = 87
- spin magnetization (μB/f.u.) = 0.000
- energy of formation from the pure elements (eV per atom) = -0.03
- SG = Cmcm (63)

Lattice parameters (Å, degrees): 6.9949 6.9949 5.8761 90.00 90.00 120.29
Sites, in units of the cell vectors:
Ca1 0.1642 0.8358 0.7500
Ca2 0.8358 0.1642 0.2500
Mg1 0.1272 0.3174 0.7500
Mg2 0.3140 0.6860 0.2500
Mg3 0.3174 0.1272 0.2500
Mg4 0.6826 0.8728 0.7500
Mg5 0.6860 0.3140 0.7500
Mg6 0.8728 0.6826 0.2500
Zn1 0.5000 0.5000 0.0000
Zn2 0.5000 0.5000 0.5000

---

5.
Material: RbYCdTe3
Method: DFT, PBE
State: optimized geometry

- formation energy without anion corrections (eV/atom) = -1.07
- total energy (eV for the cell shown) = -48.37
- crystal system = monoclinic
- spin magnetization (μB/f.u.) = 0.000
- SG = P2_1/m (11)

Lattice parameters (Å, degrees): 9.8274 4.5357 10.9729 90.00 109.21 90.00
Sites, in units of the cell vectors:
Rb1 0.2152 0.2500 0.2438
Rb2 0.7848 0.7500 0.7562
Y1 0.3292 0.7500 0.8645
Y2 0.6708 0.2500 0.1355
Cd1 0.0826 0.2500 0.6093
Cd2 0.9174 0.7500 0.3907
Te1 0.1109 0.2500 0.8720
Te2 0.2297 0.7500 0.5464
Te3 0.4657 0.7500 0.1574
Te4 0.5343 0.2500 0.8426
Te5 0.7703 0.2500 0.4536
Te6 0.8891 0.7500 0.1280

---

6.
Material: Be2PtRh2
Method: DFT, PBE
State: optimized geometry

- total energy (eV for the cell shown) = -61.27
- crystal system = tetragonal
- energy above the lowest structure with this stoichiometry (meV per atom) = 0
- spin magnetization (μB/f.u.) = 0.000
- energy of formation from the pure elements (eV per atom) = -0.49
- SG = P4/mbm (127)

Lattice parameters (Å, degrees): 6.4252 6.4252 2.8619 90.00 90.00 90.00
Sites, in units of the cell vectors:
Be1 0.1303 0.3697 0.0000
Be2 0.3697 0.8697 0.0000
Be3 0.6303 0.1303 0.0000
Be4 0.8697 0.6303 0.0000
Pt1 0.0000 0.0000 0.0000
Pt2 0.5000 0.5000 0.0000
Rh1 0.1637 0.6637 0.5000
Rh2 0.3363 0.1637 0.5000
Rh3 0.6637 0.8363 0.5000
Rh4 0.8363 0.3363 0.5000

---

7.
Material: TbSm4Sc2
Method: DFT, PBE
State: optimized geometry

- total energy (eV for the cell shown) = -68.84
- crystal system = monoclinic
- energy above the lowest structure with this stoichiometry (meV per atom) = 99
- spin magnetization (μB/f.u.) = 0.000
- energy of formation from the pure elements (eV per atom) = 0.25
- SG = C2/c (15)

Lattice parameters (Å, degrees): 7.7384 7.7384 16.9068 90.03 90.03 153.38
Sites, in units of the cell vectors:
Tb1 0.0964 0.9036 0.7500
Tb2 0.9036 0.0964 0.2500
Sm1 0.0586 0.9365 0.0851
Sm2 0.0635 0.9414 0.4149
Sm3 0.3321 0.6652 0.4242
Sm4 0.3348 0.6679 0.0758
Sm5 0.6652 0.3321 0.9242
Sm6 0.6679 0.3348 0.5758
Sm7 0.9365 0.0586 0.5851
Sm8 0.9414 0.0635 0.9149
Sc1 0.2292 0.7708 0.2500
Sc2 0.4274 0.5726 0.7500
Sc3 0.5726 0.4274 0.2500
Sc4 0.7708 0.2292 0.7500

---

8.
Material: LaZnCo3
Method: DFT, PBE
State: optimized geometry

- total energy (eV for the cell shown) = -24.93
- crystal system = cubic
- energy above the lowest structure with this stoichiometry (meV per atom) = 0
- spin magnetization (μB/f.u.) = 1.900
- energy of formation from the pure elements (eV per atom) = 0.52
- SG = Pm-3m (221)

Lattice parameters (Å, degrees): 4.4456 4.4456 4.4456 90.00 90.00 90.00
Sites, in units of the cell vectors:
La1 0.0000 0.0000 0.0000
Zn1 0.5000 0.5000 0.5000
Co1 0.0000 0.5000 0.5000
Co2 0.5000 0.0000 0.5000
Co3 0.5000 0.5000 0.0000

---

9.
Material: SmAl4Ag2Au
Method: DFT, PBE
State: optimized geometry

- total energy (eV for the cell shown) = -30.89
- crystal system = trigonal
- spin magnetization (μB/f.u.) = 0.000
- energy of formation from the pure elements (eV per atom) = -0.28
- SG = R-3m (166)

Lattice parameters (Å, degrees): 9.4112 9.4112 9.4112 27.21 27.21 27.21
Sites, in units of the cell vectors:
Sm1 0.0000 0.0000 0.0000
Al1 0.1254 0.1254 0.1254
Al2 0.4009 0.4009 0.4009
Al3 0.5991 0.5991 0.5991
Al4 0.8746 0.8746 0.8746
Ag1 0.2494 0.2494 0.2494
Ag2 0.7506 0.7506 0.7506
Au1 0.5000 0.5000 0.5000

---

10.
Material: CaHo2Te3
Method: DFT, PBE
State: optimized geometry

- formation energy without anion corrections (eV/atom) = -1.37
- total energy (eV for the cell shown) = -57.58
- crystal system = orthorhombic
- spin magnetization (μB/f.u.) = 0.000
- SG = Immm (71)

Lattice parameters (Å, degrees): 4.3605 6.1870 13.2220 90.00 90.00 90.00
Sites, in units of the cell vectors:
Ca1 0.0000 0.0000 0.0000
Ca2 0.5000 0.5000 0.5000
Ho1 0.0000 0.0000 0.3359
Ho2 0.0000 0.0000 0.6641
Ho3 0.5000 0.5000 0.1641
Ho4 0.5000 0.5000 0.8359
Te1 0.0000 0.5000 0.0000
Te2 0.0000 0.5000 0.3304
Te3 0.0000 0.5000 0.6696
Te4 0.5000 0.0000 0.1696
Te5 0.5000 0.0000 0.5000
Te6 0.5000 0.0000 0.8304

---

11.
Material: Ho2Th2Sc3
Method: DFT, PBE
State: optimized geometry

- total energy (eV for the cell shown) = -85.27
- crystal system = monoclinic
- energy above the lowest structure with this stoichiometry (meV per atom) = 5
- spin magnetization (μB/f.u.) = 0.000
- energy of formation from the pure elements (eV per atom) = 0.05
- SG = C2/m (12)

Lattice parameters (Å, degrees): 14.9818 3.4851 8.2885 90.00 112.48 90.00
Sites, in units of the cell vectors:
Ho1 0.0766 0.0000 0.2226
Ho2 0.4234 0.5000 0.7774
Ho3 0.5766 0.5000 0.2226
Ho4 0.9234 0.0000 0.7774
Th1 0.1420 0.5000 0.9219
Th2 0.3580 0.0000 0.0781
Th3 0.6420 0.0000 0.9219
Th4 0.8580 0.5000 0.0781
Sc1 0.0000 0.5000 0.5000
Sc2 0.2112 0.0000 0.6449
Sc3 0.2888 0.5000 0.3551
Sc4 0.5000 0.0000 0.5000
Sc5 0.7112 0.5000 0.6449
Sc6 0.7888 0.0000 0.3551

---

12.
Material: TiCu2Pt2
Method: DFT, PBE
State: optimized geometry

- total energy (eV for the cell shown) = -58.93
- crystal system = tetragonal
- energy above the lowest structure with this stoichiometry (meV per atom) = 271
- spin magnetization (μB/f.u.) = 0.000
- energy of formation from the pure elements (eV per atom) = -0.26
- SG = P4/mbm (127)

Lattice parameters (Å, degrees): 7.1793 7.1793 2.8928 90.00 90.00 90.00
Sites, in units of the cell vectors:
Ti1 0.0000 0.0000 0.0000
Ti2 0.5000 0.5000 0.0000
Cu1 0.1566 0.3434 0.5000
Cu2 0.3434 0.8434 0.5000
Cu3 0.6566 0.1566 0.5000
Cu4 0.8434 0.6566 0.5000
Pt1 0.1416 0.6416 0.0000
Pt2 0.3584 0.1416 0.0000
Pt3 0.6416 0.8584 0.0000
Pt4 0.8584 0.3584 0.0000

---

13.
Material: LaYZr2N
Method: DFT, PBE
State: optimized geometry

- formation energy without anion corrections (eV/atom) = -0.53
- total energy (eV for the cell shown) = -39.47
- crystal system = tetragonal
- spin magnetization (μB/f.u.) = 0.000
- SG = P4/mmm (123)

Lattice parameters (Å, degrees): 4.5739 4.5739 5.3581 90.00 90.00 90.00
Sites, in units of the cell vectors:
La1 0.0000 0.0000 0.0000
Y1 0.5000 0.5000 0.0000
Zr1 0.0000 0.5000 0.5000
Zr2 0.5000 0.0000 0.5000
N1 0.0000 0.0000 0.5000

---

14.
Material: BaAc2Sn
Method: DFT, PBE
State: optimized geometry

- total energy (eV for the cell shown) = -44.35
- crystal system = trigonal
- energy above the lowest structure with this stoichiometry (meV per atom) = 159
- spin magnetization (μB/f.u.) = 0.481
- energy of formation from the pure elements (eV per atom) = -0.16
- SG = R3m (160)

Lattice parameters (Å, degrees): 4.6069 4.6069 33.0086 90.00 90.00 120.00
Sites, in units of the cell vectors:
Ba1 0.0000 0.0000 0.0000
Ba2 0.3333 0.6667 0.6667
Ba3 0.6667 0.3333 0.3333
Ac1 0.0000 0.0000 0.5579
Ac2 0.0000 0.0000 0.7733
Ac3 0.3333 0.6667 0.2245
Ac4 0.3333 0.6667 0.4400
Ac5 0.6667 0.3333 0.1067
Ac6 0.6667 0.3333 0.8912
Sn1 0.0000 0.0000 0.1649
Sn2 0.3333 0.6667 0.8316
Sn3 0.6667 0.3333 0.4983

---

15.
Material: PaS2Br2Cl2
Method: DFT, PBE
State: optimized geometry

- formation energy without anion corrections (eV/atom) = -1.07
- total energy (eV for the cell shown) = -64.49
- crystal system = monoclinic
- spin magnetization (μB/f.u.) = 0.998
- SG = C2/m (12)

Lattice parameters (Å, degrees): 15.3174 4.9729 6.7643 90.00 115.19 90.00
Sites, in units of the cell vectors:
Pa1 0.0000 0.0000 0.0000
Pa2 0.5000 0.5000 0.0000
S1 0.0576 0.0000 0.6419
S2 0.4424 0.5000 0.3581
S3 0.5576 0.5000 0.6419
S4 0.9424 0.0000 0.3581
Br1 0.0612 0.5000 0.2653
Br2 0.4388 0.0000 0.7347
Br3 0.5612 0.0000 0.2653
Br4 0.9388 0.5000 0.7347
Cl1 0.1815 0.0000 0.1373
Cl2 0.3185 0.5000 0.8627
Cl3 0.6815 0.5000 0.1373
Cl4 0.8185 0.0000 0.8627

---

16.
Material: Li5Zn2Ag3
Method: DFT, PBE
State: optimized geometry

- total energy (eV for the cell shown) = -43.27
- crystal system = monoclinic
- spin magnetization (μB/f.u.) = 0.000
- energy of formation from the pure elements (eV per atom) = -0.10
- SG = C2/c (15)

Lattice parameters (Å, degrees): 7.1655 7.1655 7.7071 107.24 107.24 96.76
Sites, in units of the cell vectors:
Li1 0.0059 0.9941 0.7500
Li2 0.1567 0.4311 0.8295
Li3 0.2515 0.7485 0.2500
Li4 0.4311 0.1567 0.3295
Li5 0.4933 0.5067 0.2500
Li6 0.5067 0.4933 0.7500
Li7 0.5689 0.8433 0.6705
Li8 0.7485 0.2515 0.7500
Li9 0.8433 0.5689 0.1705
Li10 0.9941 0.0059 0.2500
Zn1 0.1552 0.4072 0.4634
Zn2 0.4072 0.1552 0.9634
Zn3 0.5928 0.8448 0.0366
Zn4 0.8448 0.5928 0.5366
Ag1 0.0972 0.2911 0.0916
Ag2 0.2451 0.7549 0.7500
Ag3 0.2911 0.0972 0.5916
Ag4 0.7089 0.9028 0.4084
Ag5 0.7549 0.2451 0.2500
Ag6 0.9028 0.7089 0.9084

---

17.
Material: CuAsPbN2
Method: DFT, PBE
State: optimized geometry

- formation energy without anion corrections (eV/atom) = 2.04
- total energy (eV for the cell shown) = -18.88
- crystal system = tetragonal
- spin magnetization (μB/f.u.) = 0.002
- SG = P4/mmm (123)

Lattice parameters (Å, degrees): 4.2667 4.2667 5.1240 90.00 90.00 90.00
Sites, in units of the cell vectors:
Cu1 0.0000 0.0000 0.0000
As1 0.5000 0.5000 0.0000
Pb1 0.0000 0.0000 0.5000
N1 0.0000 0.5000 0.5000
N2 0.5000 0.0000 0.5000

---

18.
Material: CaNdCd6
Method: DFT, PBE
State: optimized geometry

- total energy (eV for the cell shown) = -29.09
- crystal system = orthorhombic
- spin magnetization (μB/f.u.) = 0.000
- energy of formation from the pure elements (eV per atom) = -0.29
- SG = Amm2 (38)

Lattice parameters (Å, degrees): 5.0059 7.1192 11.2698 90.00 90.00 90.00
Sites, in units of the cell vectors:
Ca1 0.0000 0.0000 0.0000
Ca2 0.0000 0.5000 0.5000
Nd1 0.5000 0.0000 0.7133
Nd2 0.5000 0.5000 0.2133
Cd1 0.0000 0.0000 0.5276
Cd2 0.0000 0.2181 0.2661
Cd3 0.0000 0.2819 0.7661
Cd4 0.0000 0.5000 0.0276
Cd5 0.0000 0.7181 0.7661
Cd6 0.0000 0.7819 0.2661
Cd7 0.5000 0.0000 0.1875
Cd8 0.5000 0.2170 0.4471
Cd9 0.5000 0.2830 0.9471
Cd10 0.5000 0.5000 0.6875
Cd11 0.5000 0.7170 0.9471
Cd12 0.5000 0.7830 0.4471

---

19.
Material: La2YTmHg2
Method: DFT, PBE
State: optimized geometry

- total energy (eV for the cell shown) = -46.98
- crystal system = orthorhombic
- spin magnetization (μB/f.u.) = 0.000
- energy of formation from the pure elements (eV per atom) = -0.35
- SG = Pmc2_1 (26)

Lattice parameters (Å, degrees): 5.1395 9.6205 7.2149 90.00 90.00 90.00
Sites, in units of the cell vectors:
La1 0.0000 0.0575 0.0000
La2 0.0000 0.9425 0.5000
La3 0.5000 0.1714 0.3096
La4 0.5000 0.8286 0.8096
Y1 0.5000 0.4471 0.9660
Y2 0.5000 0.5529 0.4660
Tm1 0.0000 0.3282 0.6506
Tm2 0.0000 0.6718 0.1506
Hg1 0.0000 0.3684 0.2261
Hg2 0.0000 0.6316 0.7261
Hg3 0.5000 0.1657 0.7482
Hg4 0.5000 0.8343 0.2482

---

20.
Material: TbZnAg
Method: DFT, PBE
State: optimized geometry

- total energy (eV for the cell shown) = -18.93
- crystal system = tetragonal
- spin magnetization (μB/f.u.) = 0.109
- energy of formation from the pure elements (eV per atom) = -0.24
- SG = I4mm (107)

Lattice parameters (Å, degrees): 3.6111 3.6111 9.7330 90.00 90.00 90.00
Sites, in units of the cell vectors:
Tb1 0.0000 0.0000 0.0000
Tb2 0.5000 0.5000 0.5000
Zn1 0.0000 0.0000 0.3233
Zn2 0.5000 0.5000 0.8233
Ag1 0.0000 0.0000 0.6873
Ag2 0.5000 0.5000 0.1873